(1)
Below is an optimized crystal structure of DyMgOs, with properties calculated at the PBE-GGA level.

Unit cell a=3.407 b=3.407 c=10.761 alpha=90.00 beta=90.00 gamma=90.00
Space group I4mm (No. 107)
Inequivalent atoms, fractional coordinates:
Dy (0.000, 0.000, 0.000) (multiplicity 2)
Mg (0.000, 0.000, 0.724) (multiplicity 2)
Os (0.000, 0.000, 0.352) (multiplicity 2)

The total energy comes out at -5.79 eV/atom. The calculation puts the formation energy at 0.0172 eV per atom. The crystal system is tetragonal.

(2)
Below is an optimized crystal structure of Y2TaPdN, with properties calculated at the PBE-GGA level.

Unit cell a=4.877 b=4.877 c=4.082 alpha=90.00 beta=90.00 gamma=90.00
Space group P4/mmm (No. 123)
Inequivalent atoms, fractional coordinates:
Y (0.000, 0.500, 0.000) (multiplicity 2)
Ta (0.000, 0.000, 0.500) (multiplicity 1)
Pd (0.500, 0.500, 0.500) (multiplicity 1)
N (0.000, 0.000, 0.000) (multiplicity 1)

The total energy comes out at -8.39 eV/atom. The crystal system is tetragonal. Its uncorrected formation energy is -0.73 eV per atom.

(3)
Below is an optimized crystal structure of Na6Pt, with properties calculated at the PBE-GGA level.

Unit cell a=8.012 b=8.012 c=8.012 alpha=90.00 beta=90.00 gamma=90.00
Space group Im-3m (No. 229)
Inequivalent atoms, fractional coordinates:
Na (0.000, 0.250, 0.500) (multiplicity 12)
Pt (0.000, 0.000, 0.000) (multiplicity 2)

The total energy comes out at -1.22 eV/atom. The calculation puts the formation energy at 0.7781 eV per atom. The crystal system is cubic.

(4)
Below is an optimized crystal structure of AsP2, with properties calculated at the PBE-GGA level.

Unit cell a=3.216 b=3.216 c=41.912 alpha=90.00 beta=90.00 gamma=90.00
Space group I4_1/amd (No. 141, origin choice 2)
Inequivalent atoms, fractional coordinates:
As (0.000, 0.250, 0.302) (multiplicity 8)
P (0.000, 0.250, 0.115) (multiplicity 8)
P (0.000, 0.250, 0.775) (multiplicity 8)

As for the energy above the most stable polymorph in this dataset: 0.282 eV per atom. The total energy comes out at -4.76 eV/atom. The calculation puts the formation energy at 0.3927 eV per atom. The crystal system is tetragonal.

(5)
Below is an optimized crystal structure of Ac2In3Au, with properties calculated at the PBE-GGA level.

Unit cell a=8.343 b=9.982 c=17.331 alpha=90.00 beta=90.00 gamma=90.00
Space group Fmmm (No. 69)
Inequivalent atoms, fractional coordinates:
Ac (0.239, 0.000, 0.000) (multiplicity 8)
Ac (0.250, 0.250, 0.250) (multiplicity 8)
In (0.000, 0.000, 0.331) (multiplicity 8)
In (0.000, 0.249, 0.085) (multiplicity 16)
Au (0.000, 0.000, 0.168) (multiplicity 8)

As for the energy above the most stable polymorph in this dataset: 0.020 eV per atom. The total energy comes out at -3.84 eV/atom. The calculation puts the formation energy at -0.5520 eV per atom. The crystal system is orthorhombic.

(6)
Below is an optimized crystal structure of InPIN2, with properties calculated at the PBE-GGA level.

Unit cell a=3.924 b=3.924 c=5.815 alpha=90.00 beta=90.00 gamma=90.00
Space group P4/mmm (No. 123)
Inequivalent atoms, fractional coordinates:
In (0.000, 0.000, 0.000) (multiplicity 1)
P (0.500, 0.500, 0.500) (multiplicity 1)
I (0.500, 0.500, 0.000) (multiplicity 1)
N (0.000, 0.500, 0.500) (multiplicity 2)

As for the energy above the most stable polymorph in this dataset: 0.000 eV per atom. The total energy comes out at -3.91 eV/atom. The crystal system is tetragonal. Its uncorrected formation energy is 1.36 eV per atom.

(7)
Below is an optimized crystal structure of Tb5PrErSc2, with properties calculated at the PBE-GGA level.

Unit cell a=5.616 b=21.610 c=9.347 alpha=90.00 beta=90.00 gamma=90.00
Space group Cmc2_1 (No. 36)
Inequivalent atoms, fractional coordinates:
Tb (0.000, 0.009, 0.000) (multiplicity 4)
Tb (0.000, 0.266, 0.318) (multiplicity 4)
Tb (0.000, 0.307, 0.704) (multiplicity 4)
Tb (0.000, 0.393, 0.033) (multiplicity 4)
Tb (0.000, 0.468, 0.734) (multiplicity 4)
Pr (0.000, 0.184, 0.004) (multiplicity 4)
Er (0.000, 0.403, 0.405) (multiplicity 4)
Sc (0.000, 0.114, 0.313) (multiplicity 4)
Sc (0.000, 0.136, 0.686) (multiplicity 4)

The total energy comes out at -4.85 eV/atom. The calculation puts the formation energy at 0.1688 eV per atom. The crystal system is orthorhombic.

(8)
Below is an optimized crystal structure of CsRb2AuS, with properties calculated at the PBE-GGA level.

Unit cell a=6.323 b=6.323 c=6.698 alpha=90.00 beta=90.00 gamma=90.00
Space group P4/mmm (No. 123)
Inequivalent atoms, fractional coordinates:
Cs (0.000, 0.000, 0.000) (multiplicity 1)
Rb (0.000, 0.500, 0.500) (multiplicity 2)
Au (0.500, 0.500, 0.000) (multiplicity 1)
S (0.000, 0.000, 0.500) (multiplicity 1)

The total energy comes out at -2.65 eV/atom. The crystal system is tetragonal. Its uncorrected formation energy is -0.61 eV per atom.

(9)
Below is an optimized crystal structure of InWBr2, with properties calculated at the PBE-GGA level.

Unit cell a=3.183 b=5.001 c=14.618 alpha=90.00 beta=90.00 gamma=90.00
Space group Immm (No. 71)
Inequivalent atoms, fractional coordinates:
In (0.000, 0.000, 0.000) (multiplicity 2)
W (0.000, 0.000, 0.500) (multiplicity 2)
Br (0.000, 0.500, 0.147) (multiplicity 4)

As for the energy above the most stable polymorph in this dataset: 0.114 eV per atom. The total energy comes out at -4.52 eV/atom. The crystal system is orthorhombic. Its uncorrected formation energy is 0.24 eV per atom.

(10)
Below is an optimized crystal structure of GeS2N2, with properties calculated at the PBE-GGA level.

Unit cell a=4.894 b=4.894 c=3.633 alpha=90.00 beta=90.00 gamma=90.00
Space group P4/mmm (No. 123)
Inequivalent atoms, fractional coordinates:
Ge (0.000, 0.000, 0.000) (multiplicity 1)
S (0.000, 0.500, 0.000) (multiplicity 2)
N (0.000, 0.000, 0.500) (multiplicity 1)
N (0.500, 0.500, 0.500) (multiplicity 1)

As for the energy above the most stable polymorph in this dataset: 2.047 eV per atom. The total energy comes out at -3.96 eV/atom. The crystal system is tetragonal. Its uncorrected formation energy is 1.94 eV per atom.

(11)
Below is an optimized crystal structure of Pm4Pr3In, with properties calculated at the PBE-GGA level.

Unit cell a=11.565 b=7.267 c=6.329 alpha=90.00 beta=90.00 gamma=90.00
Space group Pmn2_1 (No. 31)
Inequivalent atoms, fractional coordinates:
Pm (0.000, 0.125, 0.000) (multiplicity 2)
Pm (0.000, 0.869, 0.540) (multiplicity 2)
Pm (0.232, 0.869, 0.182) (multiplicity 4)
Pr (0.000, 0.373, 0.532) (multiplicity 2)
Pr (0.243, 0.384, 0.198) (multiplicity 4)
In (0.000, 0.623, 0.022) (multiplicity 2)

As for the energy above the most stable polymorph in this dataset: 0.000 eV per atom. The total energy comes out at -4.61 eV/atom. The calculation puts the formation energy at -0.1024 eV per atom. The crystal system is orthorhombic.

(12)
Below is an optimized crystal structure of P3CBr, with properties calculated at the PBE-GGA level.

Unit cell a=4.242 b=4.242 c=4.242 alpha=90.00 beta=90.00 gamma=90.00
Space group Pm-3m (No. 221)
Inequivalent atoms, fractional coordinates:
P (0.000, 0.000, 0.500) (multiplicity 3)
C (0.000, 0.000, 0.000) (multiplicity 1)
Br (0.500, 0.500, 0.500) (multiplicity 1)

As for the energy above the most stable polymorph in this dataset: 0.000 eV per atom. The total energy comes out at -3.97 eV/atom. The crystal system is cubic. Its uncorrected formation energy is 1.46 eV per atom.

(13)
Below is an optimized crystal structure of AlTl2Bi2, with properties calculated at the PBE-GGA level.

Unit cell a=4.514 b=4.514 c=16.855 alpha=90.00 beta=90.00 gamma=90.00
Space group I4/mmm (No. 139)
Inequivalent atoms, fractional coordinates:
Al (0.000, 0.000, 0.000) (multiplicity 2)
Tl (0.000, 0.000, 0.404) (multiplicity 4)
Bi (0.000, 0.500, 0.250) (multiplicity 4)

As for the energy above the most stable polymorph in this dataset: 0.193 eV per atom. The total energy comes out at -2.93 eV/atom. The calculation puts the formation energy at 0.3202 eV per atom. The crystal system is tetragonal.